VASP calculation (PBE-GGA) on Cs4SCl2 after structural relaxation.

The spin magnetization is 0.023 μB/atom. For the energy above the most stable polymorph in this dataset, the calculation gives 0 meV per atom. The uncorrected formation energy comes out at -1521 meV/atom.

It has space group Cmmm (No. 65), with a = 9.991 Å, b = 14.421 Å, c = 5.124 Å, α = 90.00°, β = 90.00° and γ = 90.00°. The asymmetric unit holds Cs at (0.000, 0.231, 0.000), Cs at (0.214, 0.000, 0.500), S at (0.000, 0.000, 0.000) and Cl at (0.250, 0.250, 0.500).

VASP calculation (PBE-GGA) on ZnMo after structural relaxation.

The spin magnetization is 0.000 μB/atom. For the energy above the most stable polymorph in this dataset, the calculation gives 795 meV per atom. The formation energy is 856 meV per atom. The density of states at the Fermi level comes out at 0.545 states/eV per atom.

It has space group P6_3/mmc (No. 194), with a = 3.8174 Å, b = 3.8174 Å, c = 5.2274 Å, α = 90.00°, β = 90.00° and γ = 120.00°. The asymmetric unit holds Zn at (0.0000, 0.0000, 0.0000) and Mo at (0.3333, 0.6667, 0.2500).

VASP calculation (PBE-GGA) on YTcF2 after structural relaxation.

The spin magnetization is 0.774 μB/atom. For the energy above the most stable polymorph in this dataset, the calculation gives 362 meV per atom. The uncorrected formation energy comes out at -1011 meV/atom. The density of states at the Fermi level comes out at 0.580 states/eV per atom.

It has space group Fm-3m (No. 225), with a = 6.235 Å, b = 6.235 Å, c = 6.235 Å, α = 90.00°, β = 90.00° and γ = 90.00°. The asymmetric unit holds Y at (0.000, 0.000, 0.000), Tc at (0.000, 0.000, 0.500) and F at (0.250, 0.250, 0.250).

VASP calculation (PBE-GGA) on CaLaRu after structural relaxation.

The spin magnetization is 0.000 μB/atom. For the energy above the most stable polymorph in this dataset, the calculation gives 0 meV per atom. The formation energy is -62 meV per atom. The density of states at the Fermi level comes out at 0.914 states/eV per atom.

It has space group Fmm2 (No. 42), with a = 4.979 Å, b = 5.000 Å, c = 13.699 Å, α = 90.00°, β = 90.00° and γ = 90.00°. The asymmetric unit holds Ca at (0.000, 0.000, 0.000), La at (0.000, 0.000, 0.244) and Ru at (0.000, 0.000, 0.633).

VASP calculation (PBE-GGA) on Pm2AlNi after structural relaxation.

The spin magnetization is 0.000 μB/atom. The formation energy is 330 meV per atom. The density of states at the Fermi level comes out at 0.518 states/eV per atom.

It has space group R-3m (No. 166, hexagonal axes), with a = 3.3918 Å, b = 3.3918 Å, c = 30.0220 Å, α = 90.00°, β = 90.00° and γ = 120.00°. The asymmetric unit holds Pm at (0.0000, 0.0000, 0.0857), Al at (0.0000, 0.0000, 0.5000) and Ni at (0.0000, 0.0000, 0.0000).

VASP calculation (PBE-GGA) on K2AlRe after structural relaxation.

The spin magnetization is 0.002 μB/atom. The formation energy is 1142 meV per atom. The density of states at the Fermi level comes out at 1.039 states/eV per atom.

It has space group R-3m (No. 166, hexagonal axes), with a = 2.9334 Å, b = 2.9334 Å, c = 36.1839 Å, α = 90.00°, β = 90.00° and γ = 120.00°. The asymmetric unit holds K at (0.0000, 0.0000, 0.2469), Al at (0.0000, 0.0000, 0.0000) and Re at (0.0000, 0.0000, 0.5000).

VASP calculation (PBE-GGA) on Mg2Sc5Pt2Rh after structural relaxation.

The spin magnetization is 0.000 μB/atom. The formation energy is -746 meV per atom. The density of states at the Fermi level comes out at 0.780 states/eV per atom.

It has space group P4/mbm (No. 127), with a = 11.144 Å, b = 11.144 Å, c = 3.362 Å, α = 90.00°, β = 90.00° and γ = 90.00°. The asymmetric unit holds Mg at (0.176, 0.324, 0.000), Sc at (0.000, 0.500, 0.500), Sc at (0.065, 0.810, 0.500), Pt at (0.135, 0.635, 0.000) and Rh at (0.000, 0.000, 0.000).

VASP calculation (PBE-GGA) on ZnPtCl2 after structural relaxation.

The spin magnetization is 0.000 μB/atom. For the energy above the most stable polymorph in this dataset, the calculation gives 798 meV per atom. The uncorrected formation energy comes out at 389 meV/atom. The density of states at the Fermi level comes out at 0.786 states/eV per atom.

It has space group P4/mmm (No. 123), with a = 4.392 Å, b = 4.392 Å, c = 3.743 Å, α = 90.00°, β = 90.00° and γ = 90.00°. The asymmetric unit holds Zn at (0.000, 0.000, 0.000), Pt at (0.500, 0.500, 0.000) and Cl at (0.000, 0.500, 0.500).